(1)
Material: SrAg2Sn
Method: DFT, GGA-PBE
State: optimized geometry

Calculated values
Magnetization = 0.000 μB per cell
Calculated formation energy = -0.3427 eV/atom

extended XYZ file:
```
16
Lattice="-1.903 -5.339 2.359 4.707 0.797 5.599 -6.433 4.406 4.781" Properties=species:S:1:pos:R:3 pbc="T T T"
Sr 0.185 -1.469 2.471
Sr -0.990 -1.974 8.366
Sr -3.813 1.332 10.269
Sr -2.638 1.838 4.374
Ag -2.650 -3.908 3.303
Ag 1.689 0.030 7.726
Ag -2.826 3.459 7.238
Ag -3.470 0.147 7.211
Ag -0.979 3.772 9.436
Ag -5.317 -0.166 5.014
Ag -0.802 -3.595 5.501
Ag -0.159 -0.283 5.528
Sn -2.598 -1.519 4.818
Sn 2.575 0.270 5.049
Sn -1.030 1.382 7.922
Sn -6.203 -0.406 7.690
```



(2)
Material: SrAg5Sn2
Method: DFT, GGA-PBE
State: optimized geometry

Calculated values
Magnetization = 0.000 μB per cell
Calculated formation energy = -0.1519 eV/atom

extended XYZ file:
```
8
Lattice="4.458 0.000 0.000 2.229 6.673 0.493 2.229 1.711 6.469" Properties=species:S:1:pos:R:3 pbc="T T T"
Sr 0.000 0.000 0.000
Ag 2.229 4.192 3.481
Ag 4.458 3.982 1.468
Ag 4.458 4.402 5.494
Ag 4.458 6.209 3.317
Ag 4.458 2.175 3.645
Sn 6.687 6.324 5.251
Sn 2.229 2.060 1.711
```



(3)
Material: Sr4AgSn
Method: DFT, GGA-PBE
State: optimized geometry

Calculated values
Magnetization = 0.000 μB per cell
Calculated formation energy = -0.3488 eV/atom

extended XYZ file:
```
12
Lattice="-2.317 1.722 -6.784 -0.478 -8.835 -0.296 -5.757 3.859 6.060" Properties=species:S:1:pos:R:3 pbc="T T T"
Sr -5.237 1.288 5.186
Sr -5.817 -2.311 -1.690
Sr -6.249 -1.614 2.660
Sr -4.921 -5.278 1.209
Sr -3.631 2.024 -2.228
Sr -2.303 -1.640 -3.679
Sr -2.735 -0.943 0.671
Sr -3.315 -4.541 -6.205
Ag -6.777 -4.547 4.056
Ag -1.775 1.293 -5.075
Sn -2.744 -3.905 -1.165
Sn -5.808 0.652 0.146
```



(4)
Material: Sr3Ag4Sn7
Method: DFT, GGA-PBE
State: optimized geometry

Calculated values
Magnetization = 0.000 μB per cell
Calculated formation energy = -0.3668 eV/atom

extended XYZ file:
```
14
Lattice="4.634 0.000 1.169 1.737 8.880 2.885 0.155 0.023 9.153" Properties=species:S:1:pos:R:3 pbc="T T T"
Sr 1.774 1.606 2.735
Sr 4.752 7.297 10.472
Sr 0.946 4.451 6.019
Ag 3.873 4.034 4.185
Ag 2.653 4.869 9.022
Ag 5.645 8.150 6.931
Ag 0.881 0.753 6.276
Sn 3.036 7.150 7.503
Sn 2.775 1.982 8.540
Sn 4.722 3.556 10.590
Sn 3.490 1.752 5.704
Sn 1.804 5.346 2.617
Sn 0.000 0.000 0.000
Sn 3.751 6.920 4.667
```



(5)
Material: Sr3Ag2Sn4
Method: DFT, GGA-PBE
State: optimized geometry

Calculated values
Offset from the most stable computed form = 0.0 meV per atom
Magnetization = 0.000 μB per cell
Calculated formation energy = -0.5114 eV/atom

extended XYZ file:
```
9
Lattice="4.881 0.000 0.000 -2.441 5.975 0.056 0.000 -2.332 9.110" Properties=species:S:1:pos:R:3 pbc="T T T"
Sr 2.441 -0.117 6.338
Sr 0.000 0.000 0.000
Sr 0.000 3.760 2.828
Ag 2.441 1.430 3.355
Ag 0.000 2.213 5.811
Sn 2.441 2.331 0.643
Sn 0.000 1.311 8.523
Sn 2.441 3.569 5.439
Sn 0.000 0.073 3.728
```



(6)
Material: Sr3AgSn2
Method: DFT, GGA-PBE
State: optimized geometry

Calculated values
Magnetization = 0.000 μB per cell
Calculated formation energy = -0.5475 eV/atom

extended XYZ file:
```
24
Lattice="4.882 0.000 0.000 0.000 12.660 0.000 0.000 0.000 13.336" Properties=species:S:1:pos:R:3 pbc="T T T"
Sr 1.221 4.788 0.678
Sr 3.662 7.872 12.658
Sr 3.662 11.118 5.990
Sr 1.221 1.542 7.346
Sr 1.221 8.798 2.873
Sr 3.662 3.863 10.463
Sr 3.662 2.467 3.795
Sr 1.221 10.193 9.541
Sr 1.221 5.553 5.045
Sr 3.662 7.108 8.291
Sr 3.662 11.883 1.623
Sr 1.221 0.778 11.713
Ag 1.221 1.566 1.657
Ag 3.662 11.095 11.679
Ag 3.662 7.896 5.011
Ag 1.221 4.764 8.325
Sn 1.221 8.728 6.384
Sn 3.662 3.933 6.952
Sn 3.662 2.397 0.284
Sn 1.221 10.263 13.052
Sn 1.221 12.620 4.058
Sn 3.662 0.040 9.278
Sn 3.662 6.290 2.610
Sn 1.221 6.370 10.726
```



(7)
Material: Sr2AgSn2
Method: DFT, GGA-PBE
State: optimized geometry

Calculated values
Offset from the most stable computed form = 352.2 meV per atom
Magnetization = 0.000 μB per cell
Calculated formation energy = -0.2267 eV/atom

extended XYZ file:
```
10
Lattice="-6.072 2.133 6.104 -6.327 -0.235 -6.212 -0.692 -4.467 0.873" Properties=species:S:1:pos:R:3 pbc="T T T"
Sr -7.091 0.484 -3.140
Sr -9.282 1.582 0.741
Sr -5.308 1.415 3.032
Sr -3.117 0.317 -0.849
Sn -4.886 -2.140 -2.681
Sn -9.680 -1.139 -1.356
Sn -8.205 -0.428 3.447
Sn -3.410 -1.430 2.121
Ag 0.000 0.000 0.000
Ag -6.199 0.949 -0.054
```



(8)
Material: SrAg2Sn3
Method: DFT, GGA-PBE
State: optimized geometry

Calculated values
Offset from the most stable computed form = 0.0 meV per atom
Magnetization = 0.000 μB per cell
Calculated formation energy = -0.2126 eV/atom

extended XYZ file:
```
12
Lattice="-4.073 -0.906 -2.046 -0.498 -8.997 -0.303 -4.818 -4.374 6.252" Properties=species:S:1:pos:R:3 pbc="T T T"
Sr -4.236 -2.548 -0.992
Sr -5.153 -11.729 4.896
Ag -6.180 -5.548 4.206
Ag -3.209 -8.729 -0.302
Ag -6.960 -9.923 2.418
Ag -2.429 -4.355 1.486
Sn -5.814 -8.382 4.732
Sn -7.419 -6.862 1.977
Sn -5.378 -3.962 1.907
Sn -4.011 -10.315 1.997
Sn -1.970 -7.415 1.927
Sn -3.575 -5.895 -0.828
```



(9)
Material: Sr2AgSn2
Method: DFT, GGA-PBE
State: optimized geometry

Calculated values
Offset from the most stable computed form = 334.0 meV per atom
Magnetization = 0.000 μB per cell
Calculated formation energy = -0.2449 eV/atom

extended XYZ file:
```
5
Lattice="-1.411 -1.621 -3.658 4.001 -0.574 -1.289 1.289 -9.771 1.371" Properties=species:S:1:pos:R:3 pbc="T T T"
Sr 1.294 -2.851 -1.696
Sr 2.585 -9.115 -1.880
Sn 0.587 -6.244 -2.380
Sn 3.293 -5.721 -1.196
Ag 0.000 0.000 0.000
```



(10)
Material: Sr2Ag5Sn4
Method: DFT, GGA-PBE
State: optimized geometry

Calculated values
Magnetization = 0.000 μB per cell
Calculated formation energy = -0.2058 eV/atom

extended XYZ file:
```
11
Lattice="-5.299 3.120 -1.444 -2.113 0.174 -5.686 -7.379 -5.763 0.812" Properties=species:S:1:pos:R:3 pbc="T T T"
Sr -6.658 1.015 -1.003
Sr -6.020 -3.659 0.371
Ag -2.649 1.560 -0.722
Ag -1.057 0.087 -2.843
Ag -3.706 1.647 -3.565
Ag -6.071 -2.015 -2.798
Ag -8.720 -0.455 -3.520
Sn -8.624 -2.690 -1.795
Sn -6.167 0.220 -4.523
Sn -3.734 -0.781 -1.799
Sn -11.057 -1.689 -4.518
```



(11)
Material: SrAgSn2
Method: DFT, GGA-PBE
State: optimized geometry

Calculated values
Magnetization = 0.000 μB per cell
Calculated formation energy = -0.1872 eV/atom

extended XYZ file:
```
8
Lattice="5.008 0.000 0.000 0.000 5.008 0.000 2.504 2.504 10.045" Properties=species:S:1:pos:R:3 pbc="T T T"
Sr 2.504 2.504 0.000
Sr 2.504 5.008 5.022
Sn 4.202 1.252 2.511
Sn 0.807 3.756 2.511
Sn 3.756 3.311 7.533
Sn 6.260 6.706 7.533
Ag 0.000 0.000 0.000
Ag 5.008 2.504 5.022
```



(12)
Material: SrAg4Sn2
Method: DFT, GGA-PBE
State: optimized geometry

Calculated values
Offset from the most stable computed form = 294.5 meV per atom
Magnetization = 0.000 μB per cell
Calculated formation energy = 0.0978 eV/atom

extended XYZ file:
```
7
Lattice="-3.872 -1.218 5.273 3.758 -4.615 -2.976 4.517 4.239 2.431" Properties=species:S:1:pos:R:3 pbc="T T T"
Sr 0.000 0.000 0.000
Ag 0.090 -2.228 2.904
Ag 1.828 -3.002 1.024
Ag 2.574 1.408 3.704
Ag 4.313 0.634 1.824
Sn 4.109 -1.646 0.302
Sn 0.294 0.052 4.426
```



(13)
Material: SrAg6Sn6
Method: DFT, GGA-PBE
State: optimized geometry

Calculated values
Magnetization = 0.000 μB per cell
Calculated formation energy = -0.1244 eV/atom

extended XYZ file:
```
13
Lattice="-1.672 4.622 3.294 -5.714 4.050 -3.268 -5.889 -1.699 4.709" Properties=species:S:1:pos:R:3 pbc="T T T"
Sr 0.000 0.000 0.000
Ag -2.857 2.025 -1.634
Ag -3.693 4.336 0.013
Ag -2.944 -0.849 2.354
Ag -3.780 1.462 4.002
Ag -6.592 4.988 0.283
Ag -6.683 1.985 4.451
Sn -8.194 3.131 2.077
Sn -5.081 3.843 2.658
Sn -5.828 0.304 1.930
Sn -5.775 2.047 -0.489
Sn -2.582 1.912 1.321
Sn -10.693 5.062 3.414
```



(14)
Material: SrAgSn2
Method: DFT, GGA-PBE
State: optimized geometry

Calculated values
Magnetization = 0.000 μB per cell
Calculated formation energy = -0.3489 eV/atom

extended XYZ file:
```
16
Lattice="5.729 0.000 0.281 0.000 6.615 0.000 1.664 0.000 11.868" Properties=species:S:1:pos:R:3 pbc="T T T"
Sr 4.803 5.703 1.913
Sr 2.771 4.218 7.706
Sr 2.589 0.911 10.237
Sr 4.622 2.396 4.443
Ag 3.352 5.821 4.879
Ag 4.041 0.793 7.270
Ag 0.345 2.514 1.196
Ag 7.048 4.100 10.954
Sn 1.820 0.799 2.989
Sn 5.921 5.297 5.885
Sn 1.472 1.317 6.265
Sn 5.516 2.508 9.064
Sn 3.888 4.624 11.678
Sn 1.876 4.107 3.086
Sn 5.573 5.815 9.160
Sn 3.505 1.990 0.471
```



(15)
Material: Sr2AgSn2
Method: DFT, GGA-PBE
State: optimized geometry

Calculated values
Offset from the most stable computed form = 406.1 meV per atom
Magnetization = 0.000 μB per cell
Calculated formation energy = -0.1729 eV/atom

extended XYZ file:
```
5
Lattice="6.562 0.000 0.000 0.000 6.562 0.000 3.281 3.281 4.235" Properties=species:S:1:pos:R:3 pbc="T T T"
Sr 6.562 3.281 2.118
Sr 3.281 6.562 2.118
Sn 3.281 3.281 1.430
Sn 6.562 6.562 2.805
Ag 0.000 0.000 0.000
```



(16)
Material: SrAgSn
Method: DFT, GGA-PBE
State: optimized geometry

Calculated values
Magnetization = 0.000 μB per cell
Calculated formation energy = -0.3377 eV/atom

extended XYZ file:
```
3
Lattice="5.052 0.000 0.000 2.526 4.375 0.000 2.526 1.458 4.125" Properties=species:S:1:pos:R:3 pbc="T T T"
Sr 5.052 2.917 2.063
Sn 0.000 0.000 0.000
Ag 2.526 1.458 1.031
```



(17)
Material: SrAg2Sn
Method: DFT, GGA-PBE
State: optimized geometry

Calculated values
Magnetization = 0.000 μB per cell
Calculated formation energy = -0.3009 eV/atom

extended XYZ file:
```
16
Lattice="4.871 0.000 0.000 0.000 10.091 0.000 -2.435 -5.045 8.703" Properties=species:S:1:pos:R:3 pbc="T T T"
Sr 2.435 5.045 3.603
Sr 2.435 2.253 0.000
Sr 2.435 7.837 0.000
Sr 0.000 0.000 5.100
Ag 2.435 0.000 7.357
Ag 2.435 1.431 3.267
Ag 2.435 -1.431 3.267
Ag 0.000 3.614 5.436
Ag 0.000 0.000 1.482
Ag 0.000 5.045 1.346
Ag 2.435 5.045 7.221
Ag 0.000 6.477 5.436
Sn 2.435 2.426 6.092
Sn 0.000 2.620 2.611
Sn 0.000 7.471 2.611
Sn 2.435 -2.426 6.092
```



(18)
Material: SrAgSn2
Method: DFT, GGA-PBE
State: optimized geometry

Calculated values
Magnetization = 0.000 μB per cell
Calculated formation energy = -0.2806 eV/atom

extended XYZ file:
```
4
Lattice="4.790 0.000 0.000 0.000 4.724 0.000 0.000 0.000 4.724" Properties=species:S:1:pos:R:3 pbc="T T T"
Sr 2.395 2.362 2.362
Sn 0.000 0.000 2.362
Sn 0.000 2.362 0.000
Ag 2.395 0.000 0.000
```



(19)
Material: Sr8AgSn2
Method: DFT, GGA-PBE
State: optimized geometry

Calculated values
Magnetization = 0.000 μB per cell
Calculated formation energy = -0.3444 eV/atom

extended XYZ file:
```
11
Lattice="-3.557 3.888 -1.983 2.066 -1.858 -7.349 -6.285 -8.165 3.257" Properties=species:S:1:pos:R:3 pbc="T T T"
Sr -5.363 -6.079 -2.300
Sr -2.369 -1.819 -7.311
Sr -5.031 -2.961 -4.776
Sr -8.895 -4.271 -0.412
Sr -2.745 -3.174 -1.299
Sr -5.407 -4.317 1.235
Sr -2.412 -0.056 -3.776
Sr 1.120 -1.864 -5.664
Ag -1.778 1.944 -0.991
Sn -6.188 -2.425 -1.649
Sn -1.588 -3.710 -4.427
```



(20)
Material: SrAg3Sn2
Method: DFT, GGA-PBE
State: optimized geometry

Calculated values
Offset from the most stable computed form = 58.2 meV per atom
Magnetization = 0.000 μB per cell
Calculated formation energy = -0.2142 eV/atom

extended XYZ file:
```
12
Lattice="4.646 0.000 1.279 1.213 7.428 4.673 0.063 0.385 8.850" Properties=species:S:1:pos:R:3 pbc="T T T"
Sr 4.188 1.061 2.943
Sr 1.734 6.751 11.859
Ag 2.103 3.858 10.516
Ag 5.093 2.742 8.734
Ag 3.336 1.000 6.038
Ag 2.585 6.812 8.764
Ag 0.829 5.071 6.068
Ag 3.818 3.955 4.286
Sn 2.589 1.628 8.752
Sn 3.333 6.185 6.050
Sn 4.677 5.312 10.243
Sn 1.244 2.500 4.559
```



Number 1: final energy -0.234 Ry/atom. Number 2: final energy -0.231 Ry/atom. Number 3: final energy -0.192 Ry/atom. Number 4: final energy -0.260 Ry/atom. Number 5: final energy -0.256 Ry/atom. Number 6: final energy -0.235 Ry/atom. Number 7: final energy -0.226 Ry/atom. Number 8: final energy -0.253 Ry/atom. Number 9: final energy -0.227 Ry/atom. Number 10: final energy -0.240 Ry/atom. Number 11: final energy -0.244 Ry/atom. Number 12: final energy -0.214 Ry/atom. Number 13: final energy -0.251 Ry/atom. Number 14: final energy -0.256 Ry/atom. Number 15: final energy -0.222 Ry/atom. Number 16: final energy -0.234 Ry/atom. Number 17: final energy -0.231 Ry/atom. Number 18: final energy -0.251 Ry/atom. Number 19: final energy -0.188 Ry/atom. Number 20: final energy -0.239 Ry/atom.